The following is a PBE calculation of a relaxed Nb2Tl5S4Br9 crystal, from Alexandria.

Results
- E: -4.02 eV per atom
- Formation energy (no corrections): -1622 kJ/mol of formula units

Unit cell a=10.3329 b=10.3329 c=10.3329 alpha=138.08 beta=119.97 gamma=75.90
Atoms (fractional coordinates):
Tl 0.4538 0.6676 0.7862
Tl 0.5462 0.3324 0.2138
Tl 0.5000 0.0000 0.5000
Tl 0.1187 0.3324 0.7862
Tl 0.8813 0.6676 0.2138
Nb 0.0893 0.0893 0.0000
Nb 0.9107 0.9107 0.0000
Br 0.7877 0.0349 0.2472
Br 0.2123 0.9651 0.7528
Br 0.1287 0.8665 0.2622
Br 0.6043 0.8665 0.7378
Br 0.8713 0.1335 0.7378
Br 0.3957 0.1335 0.2622
Br 0.2123 0.4595 0.2472
Br 0.7877 0.5405 0.7528
Br 0.5000 0.5000 0.0000
S 0.9024 0.7589 0.6613
S 0.0976 0.7589 0.8565
S 0.0976 0.2411 0.3387
S 0.9024 0.2411 0.1435